A relaxed structure of PuVSe. Source: Alexandria, functional PBE-GGA.

As for the formation energy without anion corrections: -214 meV/atom.

The structure belongs to space group P2_1/c (No. 14); the cell edges are 7.909, 4.559 and 6.018 Å and the angles 90.00°, 107.16° and 90.00°. The inequivalent atoms are Pu at (0.028, 0.088, 0.327), V at (0.349, 0.624, 0.612) and Se at (0.326, 0.120, 0.743).